DFT (PBE) results for TbSm3Sc2 after structural relaxation.

Unit cell a=9.2490 b=9.2490 c=6.0359 alpha=90.40 beta=90.40 gamma=44.52
Last column: nearest neighbours and their distance in Å.
Sites, in units of the cell vectors:
Tb 0.1272 0.8728 0.7500  8 Sm 3.47-3.55, 2 Tb 3.51, 2 Sc 3.51
Tb 0.8728 0.1272 0.2500  8 Sm 3.47-3.55, 2 Tb 3.51, 2 Sc 3.51
Sm 0.0432 0.2955 0.9141  4 Sm 3.42-3.53, 6 Sc 3.43-3.52, 2 Tb 3.54-3.55
Sm 0.2955 0.0432 0.4141  4 Sm 3.42-3.53, 6 Sc 3.43-3.52, 2 Tb 3.54-3.55
Sm 0.3771 0.6229 0.2500  4 Tb 3.47-3.53, 4 Sm 3.48-3.53, 4 Sc 3.50-3.51
Sm 0.6229 0.3771 0.7500  4 Tb 3.47-3.53, 4 Sm 3.48-3.53, 4 Sc 3.50-3.51
Sm 0.7045 0.9568 0.5859  4 Sm 3.42-3.53, 6 Sc 3.43-3.52, 2 Tb 3.54-3.55
Sm 0.9568 0.7045 0.0859  4 Sm 3.42-3.53, 6 Sc 3.43-3.52, 2 Tb 3.54-3.55
Sc 0.2085 0.4558 0.5805  8 Sm 3.43-3.52, 3 Sc 3.46-3.48, 1 Tb 3.51
Sc 0.4558 0.2085 0.0805  8 Sm 3.43-3.52, 3 Sc 3.46-3.48, 1 Tb 3.51
Sc 0.5442 0.7915 0.9195  8 Sm 3.43-3.52, 3 Sc 3.46-3.48, 1 Tb 3.51
Sc 0.7915 0.5442 0.4195  8 Sm 3.43-3.52, 3 Sc 3.46-3.48, 1 Tb 3.51

Mass density   6421 kg/m³
Calculated volume   362.0 Å³ per cell
E above lowest polymorph   0.00 eV per formula unit
Uncorrected energy   -5.188 eV per atom
SG   C2/c



DFT (PBE) results for OsPbO5 after structural relaxation.

Unit cell a=5.8006 b=5.8006 c=8.9735 alpha=114.36 beta=114.36 gamma=72.95
Last column: nearest neighbours and their distance in Å.
Sites, in units of the cell vectors:
Os 0.1021 0.8979 0.5000  5 O 1.76-1.91
Os 0.8979 0.1021 0.0000  5 O 1.76-1.91
Pb 0.4637 0.5718 0.8382  6 O 2.43-2.64
Pb 0.5718 0.4637 0.3382  6 O 2.43-2.64
O 0.0824 0.7966 0.9153  1 Os 1.82
O 0.1655 0.2263 0.1748  1 Os 1.76
O 0.1853 0.8120 0.3126  1 Os 1.77
O 0.2263 0.1655 0.6748  1 Os 1.76
O 0.4058 0.6778 0.5825  1 Os 1.91
O 0.6778 0.4058 0.0825  1 Os 1.91
O 0.6978 0.9366 0.0187  1 Os 1.80
O 0.7966 0.0824 0.4153  1 Os 1.82
O 0.8120 0.1853 0.8126  1 Os 1.77
O 0.9366 0.6978 0.5187  1 Os 1.80

Mass density   6399 kg/m³
Calculated volume   247.8 Å³ per cell
Formation energy (no corrections)   -967 meV per atom
E above lowest polymorph   0.00 eV per formula unit
Uncorrected energy   -6.643 eV per atom
SG   Cc



- Which formula does entry 2 have?
  OsPbO5